# HfAg2Pt2

An optimized crystal structure of HfAg2Pt2 (PBE, Alexandria).

E_form = -256 meV/atom
Size of the total moment = 0.00 μB per formula unit

```
HfAg2Pt2
1.0
-6.245 0.436 -2.741
1.941 -4.139 -5.080
-1.169 -3.194 2.156
Ag Hf Pt
4 2 4
direct
0.665 0.835 0.500
0.335 0.165 0.500
0.835 0.335 0.500
0.165 0.665 0.500
0.500 0.500 0.000
0.000 0.000 0.000
0.636 0.136 0.000
0.364 0.864 0.000
0.136 0.364 0.000
0.864 0.636 0.000
```